First-principles (PBE-GGA) data for a relaxed structure of Li4Pr2Mg5, as listed in Alexandria via LeMat-Bulk.

Calculated values
DFT formation energy   0.040 eV per atom
DOS at the Fermi energy   0.66 states/eV per atom
Theoretical density   2.6 g cm⁻³
Total magnetization   0.0 μB per cell

abc: 10.1970 9.4646 5.8431
angles: 79.72 65.96 34.32
Closest atoms and distances in Å follow each position.
Element x y z (fractional)
Li  0.0159  0.7171  0.2829  5 Mg 2.79-3.02, 1 Li 2.94
Li  0.2829  0.9841  0.0159  5 Mg 2.79-3.02, 1 Li 2.94
Li  0.7171  0.0159  0.9841  5 Mg 2.79-3.02, 1 Li 2.94
Li  0.9841  0.2829  0.7171  5 Mg 2.79-3.02, 1 Li 2.94
Pr  0.3803  0.3803  0.6197  6 Li 3.46-3.48, 10 Mg 3.62-3.80
Pr  0.6197  0.6197  0.3803  6 Li 3.46-3.48, 10 Mg 3.62-3.80
Mg  0.0000  0.0000  0.0000  4 Li 2.80, 4 Mg 2.92
Mg  0.0000  0.0000  0.5000  4 Mg 2.92-3.14, 4 Li 3.02
Mg  0.2500  0.2500  0.2500  4 Li 2.79
Mg  0.5000  0.5000  0.0000  4 Mg 2.92-3.14, 4 Li 3.02
Mg  0.7500  0.7500  0.7500  4 Li 2.79